# 1
The following is a DFT calculation (PBE) of a geometry-optimized Zn3Cd2Ag2 structure.

Cell lengths 4.891, 8.225, 7.194 Å; angles 90.00, 113.68, 90.00 degrees
Sites, in units of the cell vectors:
Zn  0.000  0.000  0.000
Zn  0.000  0.500  0.500
Zn  0.269  0.091  0.377
Zn  0.269  0.409  0.877
Zn  0.731  0.591  0.123
Zn  0.731  0.909  0.623
Cd  0.352  0.082  0.783
Cd  0.352  0.418  0.283
Cd  0.648  0.582  0.717
Cd  0.648  0.918  0.217
Ag  0.224  0.742  0.857
Ag  0.224  0.758  0.357
Ag  0.776  0.242  0.643
Ag  0.776  0.258  0.143

The calculated formation energy is 0.053 eV per atom. As for the space group: P2_1/c, No. 14.

# 2
The following is a DFT calculation (PBE) of a geometry-optimized Pr3Zn8Au3 structure.

Cell lengths 8.435, 8.435, 8.435 Å; angles 149.28, 113.70, 74.83 degrees
Sites, in units of the cell vectors:
Pr  0.000  0.000  0.000
Pr  0.310  0.310  0.000
Pr  0.690  0.690  0.000
Zn  0.037  0.675  0.362
Zn  0.144  0.867  0.278
Zn  0.313  0.675  0.638
Zn  0.411  0.133  0.278
Zn  0.589  0.867  0.722
Zn  0.687  0.325  0.362
Zn  0.856  0.133  0.722
Zn  0.963  0.325  0.638
Au  0.271  0.500  0.771
Au  0.500  0.000  0.500
Au  0.729  0.500  0.229

The calculated formation energy is -0.437 eV per atom. As for the space group: Immm, No. 71.

# 3
The following is a DFT calculation (PBE) of a geometry-optimized Ac6Si3TeS2 structure.

Cell lengths 10.163, 10.163, 9.129 Å; angles 102.78, 102.78, 25.85 degrees
Sites, in units of the cell vectors:
Ac  0.001  0.001  0.268
Ac  0.326  0.326  0.916
Ac  0.334  0.334  0.414
Ac  0.666  0.666  0.586
Ac  0.674  0.674  0.084
Ac  0.999  0.999  0.732
Si  0.165  0.165  0.831
Si  0.500  0.500  0.500
Si  0.835  0.835  0.169
Te  0.500  0.500  0.000
S  0.169  0.169  0.336
S  0.831  0.831  0.664

The uncorrected formation energy is -1.20 eV per atom. As for the space group: C2/m, No. 12.

# 4
The following is a DFT calculation (PBE) of a geometry-optimized Tb2Ho3ScBi6 structure.

Cell lengths 9.929, 9.929, 8.886 Å; angles 102.90, 102.90, 25.86 degrees
Sites, in units of the cell vectors:
Tb  0.166  0.166  0.332
Tb  0.834  0.834  0.668
Ho  0.169  0.169  0.834
Ho  0.500  0.500  0.500
Ho  0.831  0.831  0.166
Sc  0.500  0.500  0.000
Bi  0.002  0.002  0.760
Bi  0.334  0.334  0.415
Bi  0.337  0.337  0.921
Bi  0.663  0.663  0.079
Bi  0.666  0.666  0.585
Bi  0.998  0.998  0.240

The calculated formation energy is -0.814 eV per atom. As for the space group: C2/m, No. 12.

# 5
The following is a DFT calculation (PBE) of a geometry-optimized LuTiCuIr structure.

Cell lengths 6.480, 6.480, 6.480 Å; angles 90.00, 90.00, 90.00 degrees
Sites, in units of the cell vectors:
Lu  0.000  0.000  0.000
Lu  0.000  0.500  0.500
Lu  0.500  0.000  0.500
Lu  0.500  0.500  0.000
Ti  0.000  0.000  0.500
Ti  0.000  0.500  0.000
Ti  0.500  0.000  0.000
Ti  0.500  0.500  0.500
Cu  0.250  0.250  0.250
Cu  0.250  0.750  0.750
Cu  0.750  0.250  0.750
Cu  0.750  0.750  0.250
Ir  0.250  0.250  0.750
Ir  0.250  0.750  0.250
Ir  0.750  0.250  0.250
Ir  0.750  0.750  0.750

The calculated formation energy is -0.502 eV per atom. As for the space group: F-43m, No. 216.

# 6
The following is a DFT calculation (PBE) of a geometry-optimized SmCd11In structure.

Cell lengths 7.719, 7.719, 7.675 Å; angles 98.71, 98.71, 134.15 degrees
Sites, in units of the cell vectors:
Sm  0.000  0.000  0.000
Cd  0.000  0.000  0.500
Cd  0.000  0.500  0.000
Cd  0.005  0.651  0.649
Cd  0.281  0.493  0.791
Cd  0.349  0.995  0.351
Cd  0.493  0.281  0.791
Cd  0.500  0.000  0.000
Cd  0.507  0.719  0.209
Cd  0.651  0.005  0.649
Cd  0.719  0.507  0.209
Cd  0.995  0.349  0.351
In  0.500  0.500  0.500

The calculated formation energy is -0.077 eV per atom. As for the space group: C2/m, No. 12.

# 7
The following is a DFT calculation (PBE) of a geometry-optimized AgRuRh2 structure.

Cell lengths 2.755, 4.703, 9.425 Å; angles 90.00, 90.00, 90.00 degrees
Sites, in units of the cell vectors:
Ag  0.000  0.000  0.000
Ag  0.500  0.500  0.500
Ru  0.000  0.000  0.500
Ru  0.500  0.500  0.000
Rh  0.000  0.500  0.234
Rh  0.000  0.500  0.766
Rh  0.500  0.000  0.266
Rh  0.500  0.000  0.734

The calculated formation energy is 0.403 eV per atom. As for the space group: Immm, No. 71.

# 8
The following is a DFT calculation (PBE) of a geometry-optimized La4S7 structure.

Cell lengths 9.090, 9.090, 9.090 Å; angles 143.15, 143.15, 53.11 degrees
Sites, in units of the cell vectors:
La  0.118  0.118  0.509
La  0.391  0.882  0.000
La  0.609  0.609  0.491
La  0.882  0.391  0.000
S  0.000  0.500  0.500
S  0.061  0.577  0.000
S  0.423  0.423  0.484
S  0.500  0.000  0.500
S  0.500  0.500  0.000
S  0.577  0.061  0.000
S  0.939  0.939  0.516

The uncorrected formation energy is -1.96 eV per atom. As for the space group: I-42m, No. 121.

# 9
The following is a DFT calculation (PBE) of a geometry-optimized MgZnBO2 structure.

Cell lengths 4.026, 4.026, 3.880 Å; angles 90.00, 90.00, 90.00 degrees
Sites, in units of the cell vectors:
Mg  0.000  0.000  0.000
Zn  0.500  0.500  0.500
B  0.500  0.500  0.000
O  0.000  0.500  0.500
O  0.500  0.000  0.500

The uncorrected formation energy is 0.14 eV per atom. As for the space group: P4/mmm, No. 123.

# 10
The following is a DFT calculation (PBE) of a geometry-optimized BaNa2GaGe2 structure.

Cell lengths 4.629, 8.649, 8.084 Å; angles 90.00, 90.00, 90.00 degrees
Sites, in units of the cell vectors:
Ba  0.000  0.071  0.000
Ba  0.000  0.929  0.500
Na  0.000  0.346  0.338
Na  0.000  0.654  0.838
Na  0.500  0.441  0.024
Na  0.500  0.559  0.524
Ga  0.500  0.177  0.648
Ga  0.500  0.823  0.148
Ge  0.000  0.334  0.700
Ge  0.000  0.666  0.200
Ge  0.500  0.128  0.302
Ge  0.500  0.872  0.802

The calculated formation energy is -0.237 eV per atom. As for the space group: Pmc2_1, No. 26.

# 11
The following is a DFT calculation (PBE) of a geometry-optimized Zr5Ni structure.

Cell lengths 3.264, 14.867, 5.132 Å; angles 90.00, 90.00, 90.00 degrees
Sites, in units of the cell vectors:
Zr  0.000  0.000  0.000
Zr  0.000  0.153  0.500
Zr  0.000  0.334  0.000
Zr  0.000  0.666  0.000
Zr  0.000  0.847  0.500
Zr  0.500  0.166  0.000
Zr  0.500  0.347  0.500
Zr  0.500  0.500  0.000
Zr  0.500  0.653  0.500
Zr  0.500  0.834  0.000
Ni  0.000  0.500  0.500
Ni  0.500  0.000  0.500

The calculated formation energy is 0.001 eV per atom. As for the space group: Cmmm, No. 65.

# 12
The following is a DFT calculation (PBE) of a geometry-optimized Pm5SnAu4 structure.

Cell lengths 3.642, 3.642, 19.448 Å; angles 90.00, 90.00, 90.00 degrees
Sites, in units of the cell vectors:
Pm  0.000  0.000  0.000
Pm  0.000  0.000  0.194
Pm  0.000  0.000  0.388
Pm  0.000  0.000  0.612
Pm  0.000  0.000  0.806
Sn  0.500  0.500  0.500
Au  0.500  0.500  0.098
Au  0.500  0.500  0.289
Au  0.500  0.500  0.711
Au  0.500  0.500  0.902

The calculated formation energy is -0.758 eV per atom. As for the space group: P4/mmm, No. 123.

# 13
The following is a DFT calculation (PBE) of a geometry-optimized DyTl2Ga structure.

Cell lengths 3.467, 3.467, 33.297 Å; angles 90.00, 90.00, 120.00 degrees
Sites, in units of the cell vectors:
Dy  0.000  0.000  0.000
Dy  0.333  0.667  0.667
Dy  0.667  0.333  0.333
Tl  0.000  0.000  0.094
Tl  0.000  0.000  0.906
Tl  0.333  0.667  0.573
Tl  0.333  0.667  0.760
Tl  0.667  0.333  0.240
Tl  0.667  0.333  0.427
Ga  0.000  0.000  0.500
Ga  0.333  0.667  0.167
Ga  0.667  0.333  0.833

The calculated formation energy is 0.144 eV per atom. As for the space group: R-3m, No. 166.

# 14
The following is a DFT calculation (PBE) of a geometry-optimized Ce7PuRu2 structure.

Cell lengths 7.886, 7.886, 4.985 Å; angles 90.00, 90.00, 110.51 degrees
Sites, in units of the cell vectors:
Ce  0.000  0.000  0.000
Ce  0.216  0.434  0.000
Ce  0.239  0.761  0.500
Ce  0.434  0.216  0.000
Ce  0.566  0.784  0.000
Ce  0.761  0.239  0.500
Ce  0.784  0.566  0.000
Pu  0.500  0.500  0.500
Ru  0.188  0.812  0.000
Ru  0.812  0.188  0.000

The calculated formation energy is 0.085 eV per atom. As for the space group: Cmmm, No. 65.

# 15
The following is a DFT calculation (PBE) of a geometry-optimized TbCu3 structure.

Cell lengths 4.050, 9.517, 6.815 Å; angles 90.00, 90.00, 90.00 degrees
Sites, in units of the cell vectors:
Tb  0.000  0.073  0.250
Tb  0.000  0.927  0.750
Tb  0.500  0.427  0.750
Tb  0.500  0.573  0.250
Cu  0.000  0.217  0.750
Cu  0.000  0.366  0.061
Cu  0.000  0.366  0.439
Cu  0.000  0.634  0.561
Cu  0.000  0.634  0.939
Cu  0.000  0.783  0.250
Cu  0.500  0.134  0.561
Cu  0.500  0.134  0.939
Cu  0.500  0.283  0.250
Cu  0.500  0.717  0.750
Cu  0.500  0.866  0.061
Cu  0.500  0.866  0.439

The calculated formation energy is -0.217 eV per atom. As for the space group: Cmcm, No. 63.

# 16
The following is a DFT calculation (PBE) of a geometry-optimized Be2NiGeCl structure.

Cell lengths 4.305, 4.305, 4.412 Å; angles 90.00, 90.00, 90.00 degrees
Sites, in units of the cell vectors:
Be  0.000  0.500  0.000
Be  0.500  0.000  0.000
Ni  0.000  0.000  0.000
Ge  0.000  0.000  0.500
Cl  0.500  0.500  0.500

The uncorrected formation energy is 0.30 eV per atom. As for the space group: P4/mmm, No. 123.

# 17
The following is a DFT calculation (PBE) of a geometry-optimized Sn2HgTeS3 structure.

Cell lengths 8.375, 8.375, 8.375 Å; angles 57.58, 57.58, 57.58 degrees
Sites, in units of the cell vectors:
Sn  0.000  0.000  0.000
Sn  0.000  0.000  0.500
Sn  0.000  0.500  0.000
Sn  0.500  0.000  0.000
Hg  0.408  0.408  0.408
Hg  0.592  0.592  0.592
Te  0.257  0.257  0.257
Te  0.743  0.743  0.743
S  0.213  0.752  0.752
S  0.248  0.248  0.787
S  0.248  0.787  0.248
S  0.752  0.213  0.752
S  0.752  0.752  0.213
S  0.787  0.248  0.248

The uncorrected formation energy is -0.21 eV per atom. As for the space group: R-3m, No. 166.

# 18
The following is a DFT calculation (PBE) of a geometry-optimized Ac3La4Sm4 structure.

Cell lengths 3.733, 5.930, 19.124 Å; angles 81.11, 84.42, 90.00 degrees
Sites, in units of the cell vectors:
Ac  0.000  0.000  0.000
Ac  0.137  0.638  0.724
Ac  0.863  0.362  0.276
La  0.319  0.818  0.363
La  0.454  0.454  0.093
La  0.546  0.546  0.907
La  0.681  0.182  0.637
Sm  0.265  0.265  0.470
Sm  0.408  0.909  0.184
Sm  0.592  0.091  0.816
Sm  0.735  0.735  0.530

The calculated formation energy is 0.039 eV per atom. As for the space group: P-1, No. 2.

# 19
The following is a DFT calculation (PBE) of a geometry-optimized LiAl2Ni structure.

Cell lengths 8.510, 2.808, 4.725 Å; angles 90.00, 101.90, 90.00 degrees
Sites, in units of the cell vectors:
Li  0.000  0.000  0.000
Li  0.500  0.500  0.000
Al  0.233  0.000  0.730
Al  0.267  0.500  0.270
Al  0.733  0.500  0.730
Al  0.767  0.000  0.270
Ni  0.000  0.500  0.500
Ni  0.500  0.000  0.500

The calculated formation energy is -0.254 eV per atom. As for the space group: C2/m, No. 12.

# 20
The following is a DFT calculation (PBE) of a geometry-optimized TcSe2BrCl structure.

Cell lengths 5.090, 5.090, 5.049 Å; angles 90.00, 90.00, 90.00 degrees
Sites, in units of the cell vectors:
Tc  0.000  0.000  0.000
Se  0.000  0.500  0.500
Se  0.500  0.000  0.500
Br  0.500  0.500  0.000
Cl  0.500  0.500  0.500

The uncorrected formation energy is 1.28 eV per atom. As for the space group: P4/mmm, No. 123.

# 21
The following is a DFT calculation (PBE) of a geometry-optimized YMgAg structure.

Cell lengths 4.986, 3.399, 8.537 Å; angles 90.00, 90.00, 90.00 degrees
Sites, in units of the cell vectors:
Y  0.250  0.000  0.215
Y  0.750  0.000  0.785
Mg  0.250  0.500  0.583
Mg  0.750  0.500  0.417
Ag  0.250  0.500  0.908
Ag  0.750  0.500  0.092

The calculated formation energy is -0.201 eV per atom. As for the space group: Pmma, No. 51.

# 22
The following is a DFT calculation (PBE) of a geometry-optimized Lu2SnOs structure.

Cell lengths 3.331, 3.331, 8.042 Å; angles 90.00, 90.00, 90.00 degrees
Sites, in units of the cell vectors:
Lu  0.000  0.000  0.203
Lu  0.000  0.000  0.797
Sn  0.500  0.500  0.500
Os  0.500  0.500  0.000

The calculated formation energy is -0.520 eV per atom. As for the space group: P4/mmm, No. 123.

# 23
The following is a DFT calculation (PBE) of a geometry-optimized Os2Ru structure.

Cell lengths 4.752, 4.756, 5.128 Å; angles 90.06, 117.59, 119.93 degrees
Sites, in units of the cell vectors:
Os  0.167  0.251  0.250
Os  0.167  0.416  0.750
Os  0.833  0.584  0.250
Os  0.833  0.749  0.750
Ru  0.500  0.083  0.750
Ru  0.500  0.917  0.250

The calculated formation energy is -0.004 eV per atom. As for the space group: P-1, No. 2.

# 24
The following is a DFT calculation (PBE) of a geometry-optimized Bi3Pd13 structure.

Cell lengths 8.326, 5.750, 5.750 Å; angles 87.99, 90.00, 90.00 degrees
Sites, in units of the cell vectors:
Bi  0.000  0.000  0.000
Bi  0.268  0.321  0.321
Bi  0.732  0.321  0.321
Pd  0.000  0.057  0.517
Pd  0.000  0.517  0.057
Pd  0.000  0.559  0.559
Pd  0.253  0.297  0.809
Pd  0.253  0.793  0.793
Pd  0.253  0.809  0.297
Pd  0.500  0.046  0.565
Pd  0.500  0.052  0.052
Pd  0.500  0.563  0.563
Pd  0.500  0.565  0.046
Pd  0.747  0.297  0.809
Pd  0.747  0.793  0.793
Pd  0.747  0.809  0.297

The calculated formation energy is -0.186 eV per atom. As for the space group: Amm2, No. 38.

Asked for calculated density across the records above, the calculation gives 8.0; 9.2; 6.8; 9.4; 11.7; 8.2; 11.3; 4.8; 3.5; 4.1; 6.9; 10.5; 9.2; 8.2; 8.8; 3.8; 5.6; 7.3; 3.6; 4.7; 5.1; 12.3; 18.8; 12.1 g cm⁻³ in order.